An optimized crystal structure of H2RuI6, computed with PBE-GGA.

Calculated values
Crystal system   monoclinic
Total magnetic moment   0.219 μB/atom
Calculated total energy   -50.232 eV per cell
Space-group type   C2/c (15)
Theoretical density   4.15 g/cm³

Lattice parameters (Å, degrees): 6.753 10.167 10.167 82.11 90.90 90.90
Each line ends with the local moment (μB).
Element x y z (fractional)
H1 0.923 0.385 0.343  0.00
H2 0.423 0.343 0.385  0.00
H3 0.577 0.657 0.615  0.00
H4 0.077 0.615 0.657  0.00
I1 0.579 0.976 0.835  0.09
I2 0.386 0.732 0.534  0.02
I3 0.614 0.268 0.466  0.02
I4 0.400 0.326 0.900  0.17
I5 0.921 0.165 0.024  0.09
I6 0.079 0.835 0.976  0.09
I7 0.900 0.900 0.326  0.17
I8 0.100 0.100 0.674  0.17
I9 0.114 0.466 0.268  0.02
I10 0.421 0.024 0.165  0.09
I11 0.600 0.674 0.100  0.17
I12 0.886 0.534 0.732  0.02
Ru1 0.750 0.916 0.084  1.04
Ru2 0.250 0.084 0.916  1.04



An optimized crystal structure of HRu3I, computed with PBE-GGA.

Calculated values
Crystal system   cubic
Total magnetic moment   0.892 μB/atom
Calculated total energy   -20.629 eV per cell
Space-group type   Pm-3m (221)
Theoretical density   6.14 g/cm³

Lattice parameters (Å, degrees): 4.887 4.887 4.887 90.00 90.00 90.00
Each line ends with the local moment (μB).
Element x y z (fractional)
Ru1 0.500 0.000 0.000  1.20
Ru2 0.000 0.000 0.500  1.48
Ru3 0.000 0.500 0.000  1.29
H1 0.500 0.500 0.500  0.18
I1 0.000 0.000 0.000  -0.01



An optimized crystal structure of HRuI2, computed with PBE-GGA.

Calculated values
Crystal system   tetragonal
Total magnetic moment   0.000 μB/atom
Calculated total energy   -26.130 eV per cell
Space-group type   I-42d (122)
Theoretical density   6.31 g/cm³

Lattice parameters (Å, degrees): 5.740 5.740 6.988 65.75 65.75 90.00
Element x y z (fractional)
Ru1 0.750 0.250 0.500
Ru2 0.000 0.000 0.000
I1 0.375 0.399 0.750
I2 0.149 0.625 0.250
I3 0.875 0.851 0.750
I4 0.601 0.125 0.250
H1 0.250 0.750 0.500
H2 0.500 0.500 0.000



An optimized crystal structure of HRuI3, computed with PBE-GGA.

Calculated values
Crystal system   cubic
Total magnetic moment   0.680 μB/atom
Calculated total energy   -13.694 eV per cell
Space-group type   Pm-3m (221)
Theoretical density   4.80 g/cm³

Lattice parameters (Å, degrees): 5.505 5.505 5.505 90.00 90.00 90.00
Each line ends with the local moment (μB).
Element x y z (fractional)
H1 0.500 0.500 0.500  0.38
I1 0.500 0.000 0.000  0.29
I2 0.000 0.500 0.000  0.11
I3 0.000 0.000 0.500  0.05
Ru1 0.000 0.000 0.000  1.62



An optimized crystal structure of HRuI2, computed with PBE-GGA.

Calculated values
Crystal system   cubic
Total magnetic moment   0.000 μB/atom
Calculated total energy   -11.805 eV per cell
Space-group type   Fm-3m (225)
Theoretical density   7.87 g/cm³

Lattice parameters (Å, degrees): 4.736 4.736 4.736 60.00 60.00 60.00
Element x y z (fractional)
Ru1 0.500 0.500 0.500
H1 0.000 0.000 0.000
I1 0.250 0.250 0.250
I2 0.750 0.750 0.750



An optimized crystal structure of H2RuI8, computed with PBE-GGA.

Calculated values
Crystal system   monoclinic
Total magnetic moment   0.007 μB/atom
Calculated total energy   -27.690 eV per cell
Space-group type   C2/m (12)
Theoretical density   4.09 g/cm³

Lattice parameters (Å, degrees): 5.649 9.721 9.721 59.38 82.06 82.06
Each line ends with the local moment (μB).
Element x y z (fractional)
I1 0.271 0.858 0.245  0.00
I2 0.729 0.142 0.755  0.00
I3 0.271 0.245 0.858  0.00
I4 0.810 0.161 0.161  0.00
I5 0.190 0.839 0.839  0.00
I6 0.268 0.356 0.356  0.00
I7 0.729 0.755 0.142  0.00
I8 0.732 0.644 0.644  0.00
H1 0.578 0.736 0.736  0.00
H2 0.422 0.264 0.264  0.00
Ru1 0.000 0.000 0.000  -0.06



An optimized crystal structure of HRuI, computed with PBE-GGA.

Calculated values
Crystal system   monoclinic
Total magnetic moment   0.000 μB/atom
Calculated total energy   -79.573 eV per cell
Space-group type   Cc (9)
Theoretical density   6.04 g/cm³

Lattice parameters (Å, degrees): 4.544 7.212 12.382 83.82 79.43 71.64
Element x y z (fractional)
I1 0.678 0.071 0.989
I2 0.309 0.637 0.063
I3 0.820 0.001 0.306
I4 0.872 0.501 0.806
I5 0.262 0.571 0.489
I6 0.991 0.137 0.563
H1 0.930 0.887 0.799
H2 0.283 0.081 0.798
H3 0.971 0.312 0.113
H4 0.605 0.812 0.613
H5 0.838 0.581 0.298
H6 0.384 0.387 0.299
Ru1 0.447 0.835 0.740
Ru2 0.178 0.631 0.278
Ru3 0.012 0.795 0.663
Ru4 0.530 0.295 0.163
Ru5 0.913 0.131 0.778
Ru6 0.977 0.335 0.240



An optimized crystal structure of HRu3I, computed with PBE-GGA.

Calculated values
Crystal system   cubic
Total magnetic moment   0.000 μB/atom
Calculated total energy   -29.333 eV per cell
Space-group type   Pm-3m (221)
Theoretical density   10.98 g/cm³

Lattice parameters (Å, degrees): 4.025 4.025 4.025 90.00 90.00 90.00
Element x y z (fractional)
Ru1 0.500 0.000 0.000
Ru2 0.000 0.000 0.500
Ru3 0.000 0.500 0.000
I1 0.500 0.500 0.500
H1 0.000 0.000 0.000



An optimized crystal structure of H2RuI4, computed with PBE-GGA.

Calculated values
Crystal system   triclinic
Total magnetic moment   0.141 μB/atom
Calculated total energy   -21.017 eV per cell
Space-group type   P-1 (2)
Theoretical density   4.89 g/cm³

Lattice parameters (Å, degrees): 7.086 7.854 6.365 142.60 101.68 74.55
Each line ends with the local moment (μB).
Element x y z (fractional)
I1 0.301 0.927 0.745  0.08
I2 0.816 0.415 0.116  0.01
I3 0.184 0.585 0.884  0.01
I4 0.699 0.073 0.255  0.08
H1 0.094 0.271 0.427  0.00
H2 0.906 0.729 0.573  0.00
Ru1 0.000 0.000 0.000  0.66



An optimized crystal structure of Sm6HRu2I3, computed with PBE-GGA.

Calculated values
Crystal system   monoclinic
Total magnetic moment   0.000 μB/atom
Calculated total energy   -62.910 eV per cell
Space-group type   C2/m (12)
Theoretical density   7.20 g/cm³

Lattice parameters (Å, degrees): 6.998 6.998 8.413 97.99 97.99 120.01
Element x y z (fractional)
H1 0.000 0.000 0.000
Ru1 0.333 0.667 0.000
Ru2 0.667 0.333 0.000
Sm1 0.397 0.061 0.184
Sm2 0.603 0.939 0.816
Sm3 0.275 0.275 0.817
Sm4 0.939 0.603 0.816
Sm5 0.725 0.725 0.183
Sm6 0.061 0.397 0.184
I1 0.500 0.500 0.500
I2 0.168 0.832 0.500
I3 0.832 0.168 0.500



An optimized crystal structure of SrHRu2I, computed with PBE-GGA.

Calculated values
Crystal system   tetragonal
Total magnetic moment   0.700 μB/atom
Calculated total energy   -22.725 eV per cell
Space-group type   P4/mmm (123)
Theoretical density   7.52 g/cm³

Lattice parameters (Å, degrees): 4.201 5.226 4.201 90.00 90.00 90.00
Each line ends with the local moment (μB).
Element x y z (fractional)
Ru1 0.500 0.000 0.000  1.55
Ru2 0.000 0.000 0.500  1.72
I1 0.500 0.500 0.500  0.09
Sr1 0.000 0.500 0.000  -0.02
H1 0.000 0.000 0.000  -0.01



An optimized crystal structure of TcHRu2I, computed with PBE-GGA.

Calculated values
Crystal system   tetragonal
Total magnetic moment   0.000 μB/atom
Calculated total energy   -30.184 eV per cell
Space-group type   P4/mmm (123)
Theoretical density   10.83 g/cm³

Lattice parameters (Å, degrees): 4.012 4.078 4.012 90.00 90.00 90.00
Element x y z (fractional)
I1 0.500 0.500 0.500
Tc1 0.000 0.500 0.000
Ru1 0.000 0.000 0.500
Ru2 0.500 0.000 0.000
H1 0.000 0.000 0.000